An optimized crystal structure of Pm2Cd2Hg3. Source: Alexandria via LeMat-Bulk, functional PBE-GGA.

Output
Total energy: -2.08 eV/atom
SG: No. 12
DFT formation energy: -0.34 eV per atom

```
data_Pm2Cd2Hg3
_symmetry_space_group_name_H-M 'P 1'
_symmetry_Int_Tables_number 1
_symmetry_space_group_name_Hall 'P 1'
_cell_length_a 4.811
_cell_length_b 5.864
_cell_length_c 7.336
_cell_angle_alpha 107.01
_cell_angle_beta 90.00
_cell_angle_gamma 114.22
loop_
_atom_site_label
_atom_site_type_symbol
_atom_site_fract_x
_atom_site_fract_y
_atom_site_fract_z
_atom_site_occupancy
Pm1 Pm 0.641 0.282 0.773 1
Pm2 Pm 0.359 0.718 0.227 1
Cd1 Cd 0.895 0.789 0.575 1
Cd2 Cd 0.105 0.211 0.425 1
Hg1 Hg 0.000 0.000 0.000 1
Hg2 Hg 0.667 0.333 0.219 1
Hg3 Hg 0.333 0.667 0.781 1
```

An optimized crystal structure of LiHo2H6Ru. Source: Alexandria via LeMat-Bulk, functional PBE-GGA.

Output
Total energy: -4.43 eV/atom
SG: No. 164

```
data_LiHo2H6Ru
_symmetry_space_group_name_H-M 'P 1'
_symmetry_Int_Tables_number 1
_symmetry_space_group_name_Hall 'P 1'
_cell_length_a 4.979
_cell_length_b 4.812
_cell_length_c 4.812
_cell_angle_alpha 120.00
_cell_angle_beta 90.00
_cell_angle_gamma 90.00
loop_
_atom_site_label
_atom_site_type_symbol
_atom_site_fract_x
_atom_site_fract_y
_atom_site_fract_z
_atom_site_occupancy
Li1 Li 0.500 0.000 0.000 1
Ho1 Ho 0.240 0.333 0.667 1
Ho2 Ho 0.760 0.667 0.333 1
H1 H 0.773 0.168 0.335 1
H2 H 0.773 0.168 0.832 1
H3 H 0.773 0.665 0.832 1
H4 H 0.227 0.832 0.168 1
H5 H 0.227 0.335 0.168 1
H6 H 0.227 0.832 0.665 1
Ru1 Ru 0.000 0.000 0.000 1
```

An optimized crystal structure of Pr5SmTl4. Source: Alexandria via LeMat-Bulk, functional PBE-GGA.

Output
Total energy: -3.88 eV/atom
SG: No. 59
DFT formation energy: -0.08 eV per atom

```
data_Pr5SmTl4
_symmetry_space_group_name_H-M 'P 1'
_symmetry_Int_Tables_number 1
_symmetry_space_group_name_Hall 'P 1'
_cell_length_a 8.951
_cell_length_b 8.314
_cell_length_c 9.495
_cell_angle_alpha 90.00
_cell_angle_beta 90.00
_cell_angle_gamma 90.00
loop_
_atom_site_label
_atom_site_type_symbol
_atom_site_fract_x
_atom_site_fract_y
_atom_site_fract_z
_atom_site_occupancy
Pr1 Pr 0.271 0.746 0.806 1
Pr2 Pr 0.271 0.254 0.806 1
Pr3 Pr 0.920 0.500 0.000 1
Pr4 Pr 0.271 0.746 0.194 1
Pr5 Pr 0.271 0.254 0.194 1
Pr6 Pr 0.729 0.754 0.306 1
Pr7 Pr 0.729 0.246 0.306 1
Pr8 Pr 0.080 0.000 0.500 1
Pr9 Pr 0.729 0.246 0.694 1
Pr10 Pr 0.729 0.754 0.694 1
Sm1 Sm 0.677 0.000 0.000 1
Sm2 Sm 0.323 0.500 0.500 1
Tl1 Tl 0.996 0.000 0.838 1
Tl2 Tl 0.563 0.670 0.000 1
Tl3 Tl 0.563 0.330 0.000 1
Tl4 Tl 0.996 0.000 0.162 1
Tl5 Tl 0.004 0.500 0.338 1
Tl6 Tl 0.437 0.830 0.500 1
Tl7 Tl 0.437 0.170 0.500 1
Tl8 Tl 0.004 0.500 0.662 1
```

An optimized crystal structure of Tm6C3S2Cl. Source: Alexandria via LeMat-Bulk, functional PBE-GGA.

Output
Total energy: -6.67 eV/atom
SG: No. 12

```
data_Tm6C3S2Cl
_symmetry_space_group_name_H-M 'P 1'
_symmetry_Int_Tables_number 1
_symmetry_space_group_name_Hall 'P 1'
_cell_length_a 3.639
_cell_length_b 7.594
_cell_length_c 8.409
_cell_angle_alpha 106.33
_cell_angle_beta 102.49
_cell_angle_gamma 90.00
loop_
_atom_site_label
_atom_site_type_symbol
_atom_site_fract_x
_atom_site_fract_y
_atom_site_fract_z
_atom_site_occupancy
Tm1 Tm 0.321 0.939 0.642 1
Tm2 Tm 0.659 0.604 0.318 1
Tm3 Tm 0.679 0.061 0.358 1
Tm4 Tm 0.989 0.283 0.979 1
Tm5 Tm 0.011 0.717 0.021 1
Tm6 Tm 0.341 0.396 0.682 1
C1 C 0.500 0.500 0.000 1
C2 C 0.834 0.166 0.668 1
C3 C 0.166 0.834 0.332 1
S1 S 0.836 0.672 0.672 1
S2 S 0.164 0.328 0.328 1
Cl1 Cl 0.500 0.000 0.000 1
```

An optimized crystal structure of AlCuAs2Br. Source: Alexandria via LeMat-Bulk, functional PBE-GGA.

Output
Total energy: -3.13 eV/atom
SG: No. 123

```
data_AlCuAs2Br
_symmetry_space_group_name_H-M 'P 1'
_symmetry_Int_Tables_number 1
_symmetry_space_group_name_Hall 'P 1'
_cell_length_a 4.875
_cell_length_b 4.875
_cell_length_c 5.067
_cell_angle_alpha 90.00
_cell_angle_beta 90.00
_cell_angle_gamma 90.00
loop_
_atom_site_label
_atom_site_type_symbol
_atom_site_fract_x
_atom_site_fract_y
_atom_site_fract_z
_atom_site_occupancy
As1 As 0.000 0.500 0.000 1
As2 As 0.500 0.000 0.000 1
Cu1 Cu 0.500 0.500 0.500 1
Br1 Br 0.000 0.000 0.500 1
Al1 Al 0.000 0.000 0.000 1
```

An optimized crystal structure of Be6CoRh. Source: Alexandria via LeMat-Bulk, functional PBE-GGA.

Output
Total energy: -4.92 eV/atom
SG: No. 123
DFT formation energy: -0.31 eV per atom

```
data_Be6CoRh
_symmetry_space_group_name_H-M 'P 1'
_symmetry_Int_Tables_number 1
_symmetry_space_group_name_Hall 'P 1'
_cell_length_a 3.248
_cell_length_b 4.711
_cell_length_c 4.711
_cell_angle_alpha 89.99
_cell_angle_beta 90.00
_cell_angle_gamma 90.00
loop_
_atom_site_label
_atom_site_type_symbol
_atom_site_fract_x
_atom_site_fract_y
_atom_site_fract_z
_atom_site_occupancy
Be1 Be 0.500 0.000 0.500 1
Be2 Be 0.500 0.500 0.000 1
Be3 Be 0.000 0.260 0.260 1
Be4 Be 0.000 0.740 0.740 1
Be5 Be 0.000 0.740 0.260 1
Be6 Be 0.000 0.260 0.740 1
Co1 Co 0.500 0.500 0.500 1
Rh1 Rh 0.500 0.000 0.000 1
```

An optimized crystal structure of CdBiH. Source: Alexandria via LeMat-Bulk, functional PBE-GGA.

Output
Total energy: -2.65 eV/atom
SG: No. 1

```
data_CdBiH
_symmetry_space_group_name_H-M 'P 1'
_symmetry_Int_Tables_number 1
_symmetry_space_group_name_Hall 'P 1'
_cell_length_a 5.305
_cell_length_b 3.257
_cell_length_c 8.527
_cell_angle_alpha 78.49
_cell_angle_beta 108.11
_cell_angle_gamma 89.85
loop_
_atom_site_label
_atom_site_type_symbol
_atom_site_fract_x
_atom_site_fract_y
_atom_site_fract_z
_atom_site_occupancy
H1 H 0.561 0.066 0.734 1
H2 H 0.623 0.923 0.820 1
Bi1 Bi 0.978 0.603 0.552 1
Bi2 Bi 0.205 0.388 0.002 1
Cd1 Cd 0.797 0.291 0.188 1
Cd2 Cd 0.385 0.701 0.367 1
```

An optimized crystal structure of Ac3Nd8Sm. Source: Alexandria via LeMat-Bulk, functional PBE-GGA.

Output
Total energy: -4.35 eV/atom
SG: No. 23
DFT formation energy: 0.24 eV per atom

```
data_Ac3Nd8Sm
_symmetry_space_group_name_H-M 'P 1'
_symmetry_Int_Tables_number 1
_symmetry_space_group_name_Hall 'P 1'
_cell_length_a 9.293
_cell_length_b 9.293
_cell_length_c 9.293
_cell_angle_alpha 77.83
_cell_angle_beta 118.27
_cell_angle_gamma 137.50
loop_
_atom_site_label
_atom_site_type_symbol
_atom_site_fract_x
_atom_site_fract_y
_atom_site_fract_z
_atom_site_occupancy
Ac1 Ac 0.500 0.869 0.369 1
Ac2 Ac 0.500 0.131 0.631 1
Ac3 Ac 0.000 0.500 0.500 1
Nd1 Nd 0.527 0.268 0.054 1
Nd2 Nd 0.473 0.527 0.741 1
Nd3 Nd 0.786 0.732 0.259 1
Nd4 Nd 0.214 0.473 0.946 1
Nd5 Nd 0.288 0.347 0.356 1
Nd6 Nd 0.712 0.068 0.059 1
Nd7 Nd 0.009 0.653 0.941 1
Nd8 Nd 0.991 0.932 0.644 1
Sm1 Sm 0.000 0.000 0.000 1
```

An optimized crystal structure of CuPSCl2. Source: Alexandria via LeMat-Bulk, functional PBE-GGA.

Output
Total energy: -2.63 eV/atom
SG: No. 123

```
data_CuPSCl2
_symmetry_space_group_name_H-M 'P 1'
_symmetry_Int_Tables_number 1
_symmetry_space_group_name_Hall 'P 1'
_cell_length_a 5.561
_cell_length_b 5.561
_cell_length_c 4.102
_cell_angle_alpha 90.00
_cell_angle_beta 90.00
_cell_angle_gamma 90.00
loop_
_atom_site_label
_atom_site_type_symbol
_atom_site_fract_x
_atom_site_fract_y
_atom_site_fract_z
_atom_site_occupancy
P1 P 0.000 0.000 0.500 1
S1 S 0.000 0.000 0.000 1
Cu1 Cu 0.500 0.500 0.500 1
Cl1 Cl 0.000 0.500 0.000 1
Cl2 Cl 0.500 0.000 0.000 1
```

An optimized crystal structure of Ta2HgOs. Source: Alexandria via LeMat-Bulk, functional PBE-GGA.

Output
Total energy: -8.58 eV/atom
SG: No. 8
DFT formation energy: 0.23 eV per atom

```
data_Ta2HgOs
_symmetry_space_group_name_H-M 'P 1'
_symmetry_Int_Tables_number 1
_symmetry_space_group_name_Hall 'P 1'
_cell_length_a 5.144
_cell_length_b 5.144
_cell_length_c 4.872
_cell_angle_alpha 74.56
_cell_angle_beta 74.56
_cell_angle_gamma 34.95
loop_
_atom_site_label
_atom_site_type_symbol
_atom_site_fract_x
_atom_site_fract_y
_atom_site_fract_z
_atom_site_occupancy
Hg1 Hg 0.506 0.506 0.494 1
Os1 Os 0.263 0.263 0.242 1
Ta1 Ta 0.988 0.988 0.009 1
Ta2 Ta 0.742 0.742 0.755 1
```

An optimized crystal structure of NbSnCSe2. Source: Alexandria via LeMat-Bulk, functional PBE-GGA.

Output
Total energy: -4.54 eV/atom
SG: No. 123

```
data_NbSnCSe2
_symmetry_space_group_name_H-M 'P 1'
_symmetry_Int_Tables_number 1
_symmetry_space_group_name_Hall 'P 1'
_cell_length_a 5.253
_cell_length_b 3.982
_cell_length_c 5.253
_cell_angle_alpha 90.00
_cell_angle_beta 90.00
_cell_angle_gamma 90.00
loop_
_atom_site_label
_atom_site_type_symbol
_atom_site_fract_x
_atom_site_fract_y
_atom_site_fract_z
_atom_site_occupancy
C1 C 0.000 0.500 0.000 1
Nb1 Nb 0.500 0.500 0.500 1
Sn1 Sn 0.000 0.000 0.000 1
Se1 Se 0.000 0.000 0.500 1
Se2 Se 0.500 0.000 0.000 1
```

An optimized crystal structure of Ga2Cu2Tc. Source: Alexandria via LeMat-Bulk, functional PBE-GGA.

Output
Total energy: -4.87 eV/atom
SG: No. 127
DFT formation energy: 0.05 eV per atom

```
data_Ga2Cu2Tc
_symmetry_space_group_name_H-M 'P 1'
_symmetry_Int_Tables_number 1
_symmetry_space_group_name_Hall 'P 1'
_cell_length_a 7.102
_cell_length_b 7.102
_cell_length_c 2.733
_cell_angle_alpha 90.00
_cell_angle_beta 90.00
_cell_angle_gamma 90.00
loop_
_atom_site_label
_atom_site_type_symbol
_atom_site_fract_x
_atom_site_fract_y
_atom_site_fract_z
_atom_site_occupancy
Cu1 Cu 0.143 0.643 0.500 1
Cu2 Cu 0.643 0.857 0.500 1
Cu3 Cu 0.857 0.357 0.500 1
Cu4 Cu 0.357 0.143 0.500 1
Tc1 Tc 0.000 0.000 0.000 1
Tc2 Tc 0.500 0.500 0.000 1
Ga1 Ga 0.345 0.845 0.000 1
Ga2 Ga 0.845 0.655 0.000 1
Ga3 Ga 0.655 0.155 0.000 1
Ga4 Ga 0.155 0.345 0.000 1
```